# MnCo3O8 (PBE+U, optimized geometry)
data_MnCo3O8
_chemical_formula_sum 'Mn4 Co12 O32'
_cell_length_a 8.050
_cell_length_b 8.050
_cell_length_c 8.050
_cell_angle_alpha 90.00
_cell_angle_beta 90.00
_cell_angle_gamma 90.00
_symmetry_space_group_name_H-M 'P 43 3 2'
_symmetry_Int_Tables_number 212
_symmetry_space_group_name_Hall 'P 4acd 2ab 3'
loop_
_atom_site_label
_atom_site_type_symbol
_atom_site_fract_x
_atom_site_fract_y
_atom_site_fract_z
Mn1 Mn 0.125 0.125 0.125
Co1 Co 0.122 0.872 0.875
O1 O 0.107 0.885 0.109
O2 O 0.114 0.386 0.614
# Uncorrected energy: -288.03 eV/cell
# Calculated volume: 10.9 A^3/atom
# Total magnetization: 5.99 μB per formula unit
# Calculated density: 4.58 g/cm3

# MnCo2O (PBE+U, optimized geometry)
data_MnCo2O
_chemical_formula_sum 'Mn4 Co8 O4'
_cell_length_a 5.910
_cell_length_b 5.910
_cell_length_c 7.374
_cell_angle_alpha 90.00
_cell_angle_beta 90.00
_cell_angle_gamma 90.00
_symmetry_space_group_name_H-M 'I -4 2 d'
_symmetry_Int_Tables_number 122
_symmetry_space_group_name_Hall 'I -4 2bw'
loop_
_atom_site_label
_atom_site_type_symbol
_atom_site_fract_x
_atom_site_fract_y
_atom_site_fract_z
Mn1 Mn 0.000 0.000 0.000
Co1 Co 0.111 0.250 0.625
O1 O 0.000 0.000 0.500
# Uncorrected energy: -87.20 eV/cell
# Calculated volume: 16.1 A^3/atom
# Total magnetization: 9.00 μB per formula unit
# Calculated density: 4.87 g/cm3

# MnCoO3 (PBE+U, optimized geometry)
data_MnCoO3
_chemical_formula_sum 'Mn6 Co6 O18'
_cell_length_a 5.0344
_cell_length_b 5.0344
_cell_length_c 13.9040
_cell_angle_alpha 90.00
_cell_angle_beta 90.00
_cell_angle_gamma 120.00
_symmetry_space_group_name_H-M 'R -3'
_symmetry_Int_Tables_number 148
_symmetry_space_group_name_Hall '-R 3'
loop_
_atom_site_label
_atom_site_type_symbol
_atom_site_fract_x
_atom_site_fract_y
_atom_site_fract_z
Mn1 Mn 0.0000 0.0000 0.1570
Co1 Co 0.0000 0.0000 0.3584
O1 O 0.0185 0.7049 0.7548
# Uncorrected energy: -202.65 eV/cell
# Calculated volume: 10.2 A^3/atom
# Total magnetization: 5.98 μB per formula unit
# Calculated density: 5.28 g/cm3

# MnCoO4 (PBE+U, optimized geometry)
data_MnCoO4
_chemical_formula_sum 'Mn2 Co2 O8'
_cell_length_a 11.235
_cell_length_b 2.896
_cell_length_c 4.978
_cell_angle_alpha 90.00
_cell_angle_beta 115.01
_cell_angle_gamma 90.00
_symmetry_space_group_name_H-M 'C 1 2/m 1'
_symmetry_Int_Tables_number 12
_symmetry_space_group_name_Hall '-C 2y'
loop_
_atom_site_label
_atom_site_type_symbol
_atom_site_fract_x
_atom_site_fract_y
_atom_site_fract_z
Mn1 Mn 0.000 0.000 0.000
Co1 Co 0.000 0.500 0.500
O1 O 0.093 0.000 0.428
O2 O 0.094 0.500 0.918
# Uncorrected energy: -76.68 eV/cell
# Calculated volume: 12.2 A^3/atom
# Total magnetization: 3.98 μB per formula unit
# Calculated density: 4.02 g/cm3

# Mn3CoO8 (PBE+U, optimized geometry)
data_Mn3CoO8
_chemical_formula_sum 'Mn9 Co3 O24'
_cell_length_a 5.8161
_cell_length_b 5.8161
_cell_length_c 14.9741
_cell_angle_alpha 90.00
_cell_angle_beta 90.00
_cell_angle_gamma 120.00
_symmetry_space_group_name_H-M 'R -3 m'
_symmetry_Int_Tables_number 166
_symmetry_space_group_name_Hall '-R 3 2"'
loop_
_atom_site_label
_atom_site_type_symbol
_atom_site_fract_x
_atom_site_fract_y
_atom_site_fract_z
Mn1 Mn 0.0000 0.5000 0.0000
Co1 Co 0.0000 0.0000 0.0000
O1 O 0.0000 0.0000 0.2692
O2 O 0.0048 0.5024 0.7303
# Uncorrected energy: -242.94 eV/cell
# Calculated volume: 12.2 A^3/atom
# Total magnetization: 9.99 μB per formula unit
# Calculated density: 3.99 g/cm3

# Mn2Co5O12 (PBE+U, optimized geometry)
data_Mn2Co5O12
_chemical_formula_sum 'Mn4 Co10 O24'
_cell_length_a 4.926
_cell_length_b 8.494
_cell_length_c 9.609
_cell_angle_alpha 90.00
_cell_angle_beta 100.87
_cell_angle_gamma 90.00
_symmetry_space_group_name_H-M 'C 1 2 1'
_symmetry_Int_Tables_number 5
_symmetry_space_group_name_Hall 'C 2y'
loop_
_atom_site_label
_atom_site_type_symbol
_atom_site_fract_x
_atom_site_fract_y
_atom_site_fract_z
Mn1 Mn 0.000 0.000 0.000
Mn2 Mn 0.000 0.453 0.500
Co1 Co 0.000 0.122 0.500
Co2 Co 0.000 0.659 0.000
Co3 Co 0.000 0.786 0.500
Co4 Co 0.233 0.455 0.231
O1 O 0.112 0.954 0.393
O2 O 0.117 0.830 0.890
O3 O 0.125 0.513 0.890
O4 O 0.135 0.294 0.390
O5 O 0.135 0.613 0.391
O6 O 0.151 0.136 0.879
# Uncorrected energy: -235.13 eV/cell
# Calculated volume: 10.4 A^3/atom
# Total magnetization: 14.93 μB per formula unit
# Calculated density: 5.02 g/cm3